A plane-wave DFT calculation with PBE-GGA was carried out for a relaxed HoNi12 crystal.

Calculated values
The space group is I4/mmm, No. 139.

Cell: 6.250 6.250 6.250 Å, 98.12 98.12 135.85°
Element x y z (fractional)
Ho1 0.000 0.000 0.000
Ni1 0.000 0.000 0.500
Ni2 0.000 0.354 0.354
Ni3 0.000 0.500 0.000
Ni4 0.000 0.646 0.646
Ni5 0.277 0.500 0.777
Ni6 0.354 0.000 0.354
Ni7 0.500 0.000 0.000
Ni8 0.500 0.277 0.777
Ni9 0.500 0.500 0.500
Ni10 0.500 0.723 0.223
Ni11 0.646 0.000 0.646
Ni12 0.723 0.500 0.223


A plane-wave DFT calculation with PBE-GGA was carried out for a relaxed HoNi6 crystal.

Calculated values
The calculation puts the polymorph energy (0 for the lowest one) at 0 meV/atom. The space group is Pnma, No. 62.

Cell: 7.760 4.822 9.755 Å, 90.00 90.00 90.00°
Element x y z (fractional)
Ho1 0.242 0.250 0.061
Ho2 0.258 0.750 0.561
Ho3 0.742 0.250 0.439
Ho4 0.758 0.750 0.939
Ni1 0.061 0.750 0.091
Ni2 0.067 0.006 0.308
Ni3 0.067 0.494 0.308
Ni4 0.103 0.250 0.519
Ni5 0.147 0.750 0.852
Ni6 0.182 0.250 0.758
Ni7 0.318 0.750 0.258
Ni8 0.353 0.250 0.352
Ni9 0.397 0.750 0.019
Ni10 0.433 0.506 0.808
Ni11 0.433 0.994 0.808
Ni12 0.439 0.250 0.591
Ni13 0.561 0.750 0.409
Ni14 0.567 0.006 0.192
Ni15 0.567 0.494 0.192
Ni16 0.603 0.250 0.981
Ni17 0.647 0.750 0.648
Ni18 0.682 0.250 0.742
Ni19 0.818 0.750 0.242
Ni20 0.853 0.250 0.148
Ni21 0.897 0.750 0.481
Ni22 0.933 0.506 0.692
Ni23 0.933 0.994 0.692
Ni24 0.939 0.250 0.909


A plane-wave DFT calculation with PBE-GGA was carried out for a relaxed HoNi5 crystal.

Calculated values
The space group is P6/mmm, No. 191.

Cell: 4.870 4.870 3.953 Å, 90.00 90.00 120.00°
Element x y z (fractional)
Ho1 0.000 0.000 0.000
Ni1 0.000 0.500 0.500
Ni2 0.333 0.667 0.000
Ni3 0.500 0.000 0.500
Ni4 0.500 0.500 0.500
Ni5 0.667 0.333 0.000


A plane-wave DFT calculation with PBE-GGA was carried out for a relaxed Ho3Ni crystal.

Calculated values
The space group is I-4, No. 82.

Cell: 8.687 8.687 8.687 Å, 97.07 97.07 138.92°
Element x y z (fractional)
Ho1 0.097 0.596 0.693
Ho2 0.109 0.250 0.858
Ho3 0.247 0.345 0.499
Ho4 0.252 0.753 0.098
Ho5 0.391 0.251 0.142
Ho6 0.404 0.097 0.501
Ho7 0.596 0.903 0.499
Ho8 0.655 0.154 0.902
Ho9 0.749 0.891 0.141
Ho10 0.750 0.609 0.859
Ho11 0.846 0.748 0.501
Ho12 0.903 0.404 0.307
Ni1 0.249 0.458 0.208
Ni2 0.250 0.041 0.792
Ni3 0.542 0.750 0.791
Ni4 0.959 0.751 0.209


A plane-wave DFT calculation with PBE-GGA was carried out for a relaxed HoNi4 crystal.

Calculated values
The calculation puts the polymorph energy (0 for the lowest one) at 865 meV/atom. The space group is I4/mmm, No. 139.

Cell: 5.652 5.652 5.652 Å, 93.38 93.38 151.88°
Element x y z (fractional)
Ho1 0.000 0.000 0.000
Ni1 0.000 0.323 0.323
Ni2 0.000 0.677 0.677
Ni3 0.323 0.000 0.323
Ni4 0.677 0.000 0.677


A plane-wave DFT calculation with PBE-GGA was carried out for a relaxed HoNi6 crystal.

Calculated values
The calculation puts the polymorph energy (0 for the lowest one) at 1144 meV/atom. The space group is Pm-3m, No. 221.

Cell: 5.283 5.283 5.283 Å, 90.00 90.00 90.00°
Element x y z (fractional)
Ho1 0.000 0.000 0.000
Ni1 0.197 0.500 0.500
Ni2 0.500 0.197 0.500
Ni3 0.500 0.500 0.197
Ni4 0.500 0.500 0.803
Ni5 0.500 0.803 0.500
Ni6 0.803 0.500 0.500


A plane-wave DFT calculation with PBE-GGA was carried out for a relaxed Ho3Ni crystal.

Calculated values
The space group is Imm2, No. 44.

Cell: 6.263 6.263 6.263 Å, 147.02 60.90 130.35°
Element x y z (fractional)
Ho1 0.000 0.000 0.000
Ho2 0.305 0.500 0.805
Ho3 0.695 0.500 0.195
Ni1 0.503 0.003 0.500


A plane-wave DFT calculation with PBE-GGA was carried out for a relaxed Ho4Ni crystal.

Calculated values
The calculation puts the polymorph energy (0 for the lowest one) at 370 meV/atom. The space group is Fd-3m, No. 227.

Cell: 7.468 7.468 7.468 Å, 60.00 60.00 60.00°
Element x y z (fractional)
Ho1 0.213 0.762 0.762
Ho2 0.238 0.238 0.238
Ho3 0.238 0.238 0.787
Ho4 0.238 0.787 0.238
Ho5 0.762 0.213 0.762
Ho6 0.762 0.762 0.213
Ho7 0.762 0.762 0.762
Ho8 0.787 0.238 0.238
Ni1 0.375 0.375 0.375
Ni2 0.625 0.625 0.625


A plane-wave DFT calculation with PBE-GGA was carried out for a relaxed Ho5Ni3 crystal.

Calculated values
The space group is P4/ncc, No. 130.

Cell: 10.741 10.741 6.207 Å, 90.00 90.00 90.00°
Element x y z (fractional)
Ho1 0.043 0.160 0.119
Ho2 0.043 0.340 0.619
Ho3 0.160 0.043 0.619
Ho4 0.160 0.457 0.119
Ho5 0.250 0.750 0.000
Ho6 0.250 0.750 0.500
Ho7 0.340 0.043 0.119
Ho8 0.340 0.457 0.619
Ho9 0.457 0.160 0.619
Ho10 0.457 0.340 0.119
Ho11 0.543 0.660 0.881
Ho12 0.543 0.840 0.381
Ho13 0.660 0.543 0.381
Ho14 0.660 0.957 0.881
Ho15 0.750 0.250 0.000
Ho16 0.750 0.250 0.500
Ho17 0.840 0.543 0.881
Ho18 0.840 0.957 0.381
Ho19 0.957 0.660 0.381
Ho20 0.957 0.840 0.881
Ni1 0.097 0.597 0.750
Ni2 0.097 0.903 0.250
Ni3 0.250 0.250 0.375
Ni4 0.250 0.250 0.875
Ni5 0.403 0.597 0.250
Ni6 0.403 0.903 0.750
Ni7 0.597 0.097 0.250
Ni8 0.597 0.403 0.750
Ni9 0.750 0.750 0.125
Ni10 0.750 0.750 0.625
Ni11 0.903 0.097 0.750
Ni12 0.903 0.403 0.250


A plane-wave DFT calculation with PBE-GGA was carried out for a relaxed Ho3Ni2 crystal.

Calculated values
The calculation puts the polymorph energy (0 for the lowest one) at 16 meV/atom. The space group is R-3, No. 148.

Cell: 7.186 7.186 7.186 Å, 72.77 72.77 72.77°
Element x y z (fractional)
Ho1 0.000 0.000 0.000
Ho2 0.171 0.664 0.386
Ho3 0.207 0.207 0.207
Ho4 0.336 0.614 0.829
Ho5 0.386 0.171 0.664
Ho6 0.614 0.829 0.336
Ho7 0.664 0.386 0.171
Ho8 0.793 0.793 0.793
Ho9 0.829 0.336 0.614
Ni1 0.040 0.413 0.856
Ni2 0.144 0.960 0.587
Ni3 0.413 0.856 0.040
Ni4 0.587 0.144 0.960
Ni5 0.856 0.040 0.413
Ni6 0.960 0.587 0.144


A plane-wave DFT calculation with PBE-GGA was carried out for a relaxed HoNi4 crystal.

Calculated values
The calculation puts the polymorph energy (0 for the lowest one) at 0 meV/atom. The space group is I-43m, No. 217.

Cell: 7.191 7.191 7.191 Å, 109.47 109.47 109.47°
Element x y z (fractional)
Ho1 0.000 0.000 0.554
Ho2 0.000 0.554 0.000
Ho3 0.446 0.446 0.446
Ho4 0.554 0.000 0.000
Ni1 0.000 0.000 0.200
Ni2 0.000 0.200 0.000
Ni3 0.000 0.352 0.352
Ni4 0.000 0.648 0.648
Ni5 0.200 0.000 0.000
Ni6 0.250 0.500 0.750
Ni7 0.250 0.750 0.500
Ni8 0.352 0.000 0.352
Ni9 0.352 0.352 0.000
Ni10 0.500 0.250 0.750
Ni11 0.500 0.750 0.250
Ni12 0.648 0.000 0.648
Ni13 0.648 0.648 0.000
Ni14 0.750 0.250 0.500
Ni15 0.750 0.500 0.250
Ni16 0.800 0.800 0.800


A plane-wave DFT calculation with PBE-GGA was carried out for a relaxed Ho4Ni crystal.

Calculated values
The calculation puts the polymorph energy (0 for the lowest one) at 94 meV/atom. The space group is Pm-3m, No. 221.

Cell: 5.276 5.276 5.276 Å, 90.00 90.00 90.00°
Element x y z (fractional)
Ho1 0.000 0.000 0.000
Ho2 0.000 0.500 0.500
Ho3 0.500 0.000 0.500
Ho4 0.500 0.500 0.000
Ni1 0.500 0.500 0.500


no.,DFT total energy (eV/cell)
1,-75.51
2,-163.11
3,-35.48
4,-80.45
5,-24.37
6,-32.77
7,-20.19
8,-45.77
9,-171.66
10,-81.43
11,-114.78
12,-24.27